No. 1
DFT (PBE-GGA) results for an optimized crystal structure of RbBaIn2Sn.

abc: 6.5574 6.3172 6.5574
angles: 90.00 90.00 90.00
Last column: nearest neighbours and their distance in Å.
Positions (direct):
Ba 0.0000 0.0000 0.0000  2 Sn 3.16, 4 In 3.28
Sn 0.0000 0.5000 0.0000  2 Ba 3.16
Rb 0.5000 0.5000 0.5000  8 In 4.55, 4 Sn 4.64
In 0.0000 0.0000 0.5000  2 Ba 3.28
In 0.5000 0.0000 0.0000  2 Ba 3.28

Values from the calculation:
The space group is P4/mmm, No. 123. As for the density of states at the Fermi level: 6.23 states/eV/cell. For the total energy, the calculation gives -10.28 eV/cell. The formation energy comes out at 0.419 eV/atom. Its density is 3.491 Mg/m³.

---

No. 2
DFT (PBE-GGA) results for an optimized crystal structure of RbBaTlIn.

abc: 6.1234 6.1234 6.1234
angles: 60.00 60.00 60.00
Last column: nearest neighbours and their distance in Å.
Positions (direct):
Rb 0.0000 0.0000 0.0000  4 Tl 3.75, 4 In 3.75
Tl 0.7500 0.7500 0.7500  4 Ba 3.75, 4 Rb 3.75
In 0.2500 0.2500 0.2500  4 Ba 3.75, 4 Rb 3.75
Ba 0.5000 0.5000 0.5000  4 Tl 3.75, 4 In 3.75

Values from the calculation:
The space group is F-43m, No. 216. As for the density of states at the Fermi level: 4.31 states/eV/cell. For the total energy, the calculation gives -8.54 eV/cell. The formation energy comes out at -0.136 eV/atom. Its density is 5.544 Mg/m³.

---

No. 3
DFT (PBE-GGA) results for an optimized crystal structure of RbBaZrIn2.

abc: 5.7183 5.7183 5.9847
angles: 90.00 90.00 90.00
Last column: nearest neighbours and their distance in Å.
Positions (direct):
Zr 0.0000 0.0000 0.0000  4 In 2.86, 2 Rb 2.99
Ba 0.5000 0.5000 0.5000  4 Rb 4.04, 8 In 4.14
Rb 0.0000 0.0000 0.5000  2 Zr 2.99
In 0.5000 0.0000 0.0000  2 Zr 2.86
In 0.0000 0.5000 0.0000  2 Zr 2.86

Values from the calculation:
The space group is P4/mmm, No. 123. As for the density of states at the Fermi level: 3.08 states/eV/cell. For the total energy, the calculation gives -15.24 eV/cell. The formation energy comes out at 0.335 eV/atom. Its density is 4.613 Mg/m³.

---

No. 4
DFT (PBE-GGA) results for an optimized crystal structure of BaInRe.

abc: 5.3125 5.3125 3.0753
angles: 90.00 90.00 120.00
Last column: nearest neighbours and their distance in Å.
Positions (direct):
Ba 0.0000 0.0000 0.0002  2 Ba 3.08, 6 In 3.43, 6 Re 3.43
Re 0.3333 0.6667 0.5003  3 In 3.07, 2 Re 3.08, 6 Ba 3.43
In 0.6667 0.3333 0.4995  3 Re 3.07, 2 In 3.08, 6 Ba 3.43

Values from the calculation:
The space group is P-6m2, No. 187. As for the density of states at the Fermi level: 4.15 states/eV/cell. For the total energy, the calculation gives -14.16 eV/cell. The formation energy comes out at 0.984 eV/atom. The energy above the lowest structure with this stoichiometry comes out at 0.261 eV per atom. Its density is 9.684 Mg/m³.

---

Which value of formation energy does entry 3 give?
0.335 eV/atom

---

What is the formation energy in the fourth record?
0.984 eV/atom

---

The lowest formation energy belongs to which entry?
RbBaTlIn

---

Which formula does entry 1 have?
RbBaIn2Sn